## CrAgB2Pt (PBE)

Data for crystalline CrAgB2Pt at its relaxed geometry.

The structure in CIF format:
```
data_CrAgB2Pt
_cell_length_a 3.985
_cell_length_b 3.985
_cell_length_c 4.669
_cell_angle_alpha 90.00
_cell_angle_beta 90.00
_cell_angle_gamma 90.00
_space_group_name_H-M_alt 'P 4/m m m'
_space_group_IT_number 123
_space_group_name_Hall '-P 4 2'
loop_
_atom_site_label
_atom_site_type_symbol
_atom_site_fract_x
_atom_site_fract_y
_atom_site_fract_z
Cr1 Cr 0.000 0.000 0.000
Ag1 Ag 0.500 0.500 0.500
B1 B 0.000 0.500 0.000
Pt1 Pt 0.000 0.000 0.500
```

Computed properties:
Electronic total energy in eV/f.u.: -26.07

## CrAg2BRh (PBE)

Data for crystalline CrAg2BRh at its relaxed geometry.

The structure in CIF format:
```
data_CrAg2BRh
_cell_length_a 4.271
_cell_length_b 4.271
_cell_length_c 4.089
_cell_angle_alpha 90.00
_cell_angle_beta 90.00
_cell_angle_gamma 90.00
_space_group_name_H-M_alt 'P 4/m m m'
_space_group_IT_number 123
_space_group_name_Hall '-P 4 2'
loop_
_atom_site_label
_atom_site_type_symbol
_atom_site_fract_x
_atom_site_fract_y
_atom_site_fract_z
Cr1 Cr 0.000 0.000 0.000
Ag1 Ag 0.000 0.500 0.500
B1 B 0.000 0.000 0.500
Rh1 Rh 0.500 0.500 0.000
```

Computed properties:
Electronic total energy in eV/f.u.: -26.08

## VCrAgB2 (PBE)

Data for crystalline VCrAgB2 at its relaxed geometry.

The structure in CIF format:
```
data_VCrAgB2
_cell_length_a 3.948
_cell_length_b 3.948
_cell_length_c 4.713
_cell_angle_alpha 90.00
_cell_angle_beta 90.00
_cell_angle_gamma 90.00
_space_group_name_H-M_alt 'P 4/m m m'
_space_group_IT_number 123
_space_group_name_Hall '-P 4 2'
loop_
_atom_site_label
_atom_site_type_symbol
_atom_site_fract_x
_atom_site_fract_y
_atom_site_fract_z
V1 V 0.000 0.000 0.000
Cr1 Cr 0.500 0.500 0.500
Ag1 Ag 0.000 0.000 0.500
B1 B 0.000 0.500 0.000
```

Computed properties:
Electronic total energy in eV/f.u.: -26.42

## CsAg3B (PBE)

Data for crystalline CsAg3B at its relaxed geometry.

The structure in CIF format:
```
data_CsAg3B
_cell_length_a 6.382
_cell_length_b 6.382
_cell_length_c 6.382
_cell_angle_alpha 90.00
_cell_angle_beta 90.00
_cell_angle_gamma 90.00
_space_group_name_H-M_alt 'P m -3 m'
_space_group_IT_number 221
_space_group_name_Hall '-P 4 2 3'
loop_
_atom_site_label
_atom_site_type_symbol
_atom_site_fract_x
_atom_site_fract_y
_atom_site_fract_z
Cs1 Cs 0.000 0.000 0.000
Ag1 Ag 0.000 0.000 0.500
B1 B 0.500 0.500 0.500
```

Computed properties:
Polymorph energy (0 for the lowest one) in eV/f.u.: 8.31

no.,size of the total moment (μB/f.u.)
1,0.7
2,3.6
3,0.0
4,0.0